# 1
The following is a PBE-GGA calculation of crystalline FeMoP2Cl at its relaxed geometry, from Alexandria.

It has space group P4/mmm (No. 123), with a = 4.272 Å, b = 4.272 Å, c = 4.835 Å, α = 90.00°, β = 90.00° and γ = 90.00°. Symmetry generates all atoms from Fe at (0.000, 0.000, 0.000), Mo at (0.500, 0.500, 0.500), P at (0.000, 0.500, 0.000) and Cl at (0.000, 0.000, 0.500).

Its energy above the most stable polymorph in this dataset is 53.0 meV/atom. For the magnetic moment, the calculation gives 0.7741 μB per atom. The value obtained for the density of states at the Fermi level is 4.13 states/eV/cell. For the energy relative to the elements, uncorrected, the calculation gives 4.0 eV per formula unit.

=====

# 2
The following is a PBE-GGA calculation of crystalline FeMoPCl2 at its relaxed geometry, from Alexandria.

It has space group P4/mmm (No. 123), with a = 4.415 Å, b = 4.415 Å, c = 5.126 Å, α = 90.00°, β = 90.00° and γ = 90.00°. Symmetry generates all atoms from Fe at (0.000, 0.000, 0.000), Mo at (0.500, 0.500, 0.500), P at (0.000, 0.000, 0.500) and Cl at (0.000, 0.500, 0.000).

Its energy above the most stable polymorph in this dataset is 104.0 meV/atom. For the magnetic moment, the calculation gives 1.3157 μB per atom. The value obtained for the density of states at the Fermi level is 6.95 states/eV/cell. For the energy relative to the elements, uncorrected, the calculation gives 3.5 eV per formula unit.

=====

# 3
The following is a PBE-GGA calculation of crystalline FeMoPCl2 at its relaxed geometry, from Alexandria.

It has space group P4/mmm (No. 123), with a = 4.851 Å, b = 4.851 Å, c = 4.779 Å, α = 90.00°, β = 90.00° and γ = 90.00°. Symmetry generates all atoms from Fe at (0.000, 0.000, 0.000), Mo at (0.500, 0.500, 0.500), P at (0.500, 0.500, 0.000) and Cl at (0.000, 0.500, 0.500).

Its energy above the most stable polymorph in this dataset is 0.0 meV/atom. For the magnetic moment, the calculation gives 1.0656 μB per atom. The value obtained for the density of states at the Fermi level is 9.19 states/eV/cell. For the energy relative to the elements, uncorrected, the calculation gives 3.0 eV per formula unit.

=====

# 4
The following is a PBE-GGA calculation of crystalline FeMoP2Cl at its relaxed geometry, from Alexandria.

It has space group P4/mmm (No. 123), with a = 4.650 Å, b = 4.650 Å, c = 4.954 Å, α = 90.00°, β = 90.00° and γ = 90.00°. Symmetry generates all atoms from Fe at (0.000, 0.000, 0.000), Mo at (0.500, 0.500, 0.500), P at (0.000, 0.500, 0.500) and Cl at (0.500, 0.500, 0.000).

Its energy above the most stable polymorph in this dataset is 0.0 meV/atom. For the magnetic moment, the calculation gives 0.7631 μB per atom. The value obtained for the density of states at the Fermi level is 7.33 states/eV/cell. For the energy relative to the elements, uncorrected, the calculation gives 3.7 eV per formula unit.

=====

# 5
The following is a PBE-GGA calculation of crystalline FeMoSCl2 at its relaxed geometry, from Alexandria.

It has space group P4/mmm (No. 123), with a = 4.905 Å, b = 4.905 Å, c = 4.650 Å, α = 90.00°, β = 90.00° and γ = 90.00°. Symmetry generates all atoms from Fe at (0.000, 0.000, 0.000), Mo at (0.500, 0.500, 0.500), S at (0.500, 0.500, 0.000) and Cl at (0.000, 0.500, 0.500).

Its energy above the most stable polymorph in this dataset is 0.0 meV/atom. For the magnetic moment, the calculation gives 1.0701 μB per atom. The value obtained for the density of states at the Fermi level is 8.42 states/eV/cell. For the energy relative to the elements, uncorrected, the calculation gives 1.9 eV per formula unit.

=====

# 6
The following is a PBE-GGA calculation of crystalline FeMoSCl2 at its relaxed geometry, from Alexandria.

It has space group P4/mmm (No. 123), with a = 4.596 Å, b = 4.596 Å, c = 4.806 Å, α = 90.00°, β = 90.00° and γ = 90.00°. Symmetry generates all atoms from Fe at (0.000, 0.000, 0.000), Mo at (0.500, 0.500, 0.500), S at (0.000, 0.000, 0.500) and Cl at (0.000, 0.500, 0.000).

Its energy above the most stable polymorph in this dataset is 55.8 meV/atom. For the magnetic moment, the calculation gives 0.1915 μB per atom. The value obtained for the density of states at the Fermi level is 3.76 states/eV/cell. For the energy relative to the elements, uncorrected, the calculation gives 2.2 eV per formula unit.